HfBe17Ir: relaxed, PBE-GGA.

Values from the calculation:
D(E_F)   0.15 states/eV per atom
Formation enthalpy at 0 K   -3.82 eV/f.u.
Spin magnetization   0.0 μB/f.u.
Calculated volume   8.8 Å³ per atom

abc: 5.5568 5.5568 5.5568
angles: 83.05 83.05 83.05
Positions (direct):
Hf 0.3415 0.3415 0.3415
Be 0.3010 0.9928 0.7062
Be 0.7062 0.3010 0.9928
Be 0.9928 0.7062 0.3010
Be 0.3010 0.7062 0.9928
Be 0.9928 0.3010 0.7062
Be 0.7062 0.9928 0.3010
Be 0.3526 0.8316 0.3526
Be 0.3526 0.3526 0.8316
Be 0.8316 0.3526 0.3526
Be 0.6554 0.1358 0.6554
Be 0.6554 0.6554 0.1358
Be 0.1358 0.6554 0.6554
Be 0.0115 0.4900 0.0115
Be 0.0115 0.0115 0.4900
Be 0.4900 0.0115 0.0115
Be 0.8977 0.8977 0.8977
Be 0.0957 0.0957 0.0957
Ir 0.6683 0.6683 0.6683

HfBe2Ir: relaxed, PBE-GGA.

Values from the calculation:
D(E_F)   0.30 states/eV per atom
Formation enthalpy at 0 K   -2.10 eV/f.u.
Spin magnetization   0.0 μB/f.u.
Distance to the lowest polymorph of the same formula   0 meV/atom
Calculated volume   12.6 Å³ per atom

abc: 4.1494 4.1494 4.1494
angles: 60.00 60.00 60.00
Positions (direct):
Be 0.2500 0.2500 0.2500
Be 0.7500 0.7500 0.7500
Ir 0.5000 0.5000 0.5000
Hf 0.0000 0.0000 0.0000

LaHfBeIr2: relaxed, PBE-GGA.

Values from the calculation:
D(E_F)   0.51 states/eV per atom
Formation enthalpy at 0 K   -3.25 eV/f.u.
Spin magnetization   0.0 μB/f.u.
Calculated volume   19.6 Å³ per atom

abc: 4.0384 4.0384 6.6458
angles: 107.69 107.69 90.00
Positions (direct):
La 0.0000 0.0000 0.0000
Hf 0.7500 0.2500 0.5000
Be 0.2500 0.7500 0.5000
Ir 0.6148 0.6148 0.2295
Ir 0.3852 0.3852 0.7705

LaHf2BeIr: relaxed, PBE-GGA.

Values from the calculation:
D(E_F)   1.25 states/eV per atom
Formation enthalpy at 0 K   0.52 eV/f.u.
Spin magnetization   0.0 μB/f.u.
Calculated volume   20.2 Å³ per atom

abc: 4.8899 4.2275 4.8899
angles: 90.00 90.00 90.00
Positions (direct):
Be 0.0000 0.0000 0.0000
Ir 0.0000 0.5000 0.0000
Hf 0.0000 0.0000 0.5000
Hf 0.5000 0.0000 0.0000
La 0.5000 0.5000 0.5000

LiHfBeIr: relaxed, PBE-GGA.

Values from the calculation:
D(E_F)   1.08 states/eV per atom
Formation enthalpy at 0 K   -1.45 eV/f.u.
Spin magnetization   0.0 μB/f.u.
Calculated volume   14.5 Å³ per atom

abc: 4.3447 4.3447 4.3447
angles: 60.00 60.00 60.00
Positions (direct):
Be 0.0000 0.0000 0.0000
Ir 0.7500 0.7500 0.7500
Hf 0.5000 0.5000 0.5000
Li 0.2500 0.2500 0.2500

Hf2BeIrN: relaxed, PBE-GGA.

Values from the calculation:
D(E_F)   0.20 states/eV per atom
Formation energy (no corrections)   -1.06 eV/atom
Spin magnetization   0.0 μB/f.u.
Calculated volume   13.8 Å³ per atom

abc: 4.5160 4.5160 3.3853
angles: 90.00 90.00 90.00
Positions (direct):
Be 0.0000 0.0000 0.5000
Ir 0.5000 0.5000 0.5000
Hf 0.0000 0.5000 0.0000
Hf 0.5000 0.0000 0.0000
N 0.0000 0.0000 0.0000

Na2HfBeIr: relaxed, PBE-GGA.

Values from the calculation:
D(E_F)   0.99 states/eV per atom
Formation enthalpy at 0 K   7.57 eV/f.u.
Spin magnetization   0.0 μB/f.u.
Calculated volume   34.9 Å³ per atom

abc: 6.0956 4.6970 6.0956
angles: 90.00 90.00 90.00
Positions (direct):
Na 0.0000 0.0000 0.5000
Na 0.5000 0.0000 0.0000
Ir 0.0000 0.5000 0.0000
Hf 0.0000 0.0000 0.0000
Be 0.5000 0.5000 0.5000

NdHfBeIr2: relaxed, PBE-GGA.

Values from the calculation:
D(E_F)   0.56 states/eV per atom
Formation enthalpy at 0 K   -3.15 eV/f.u.
Spin magnetization   0.0 μB/f.u.
Calculated volume   19.2 Å³ per atom

abc: 4.0089 4.0089 6.6221
angles: 107.62 107.62 90.00
Positions (direct):
Nd 0.0000 0.0000 0.0000
Hf 0.7500 0.2500 0.5000
Be 0.2500 0.7500 0.5000
Ir 0.6136 0.6136 0.2272
Ir 0.3864 0.3864 0.7728

PrHfBeIr2: relaxed, PBE-GGA.

Values from the calculation:
D(E_F)   0.54 states/eV per atom
Formation enthalpy at 0 K   -3.09 eV/f.u.
Spin magnetization   0.0 μB/f.u.
Calculated volume   19.4 Å³ per atom

abc: 4.0292 4.0292 6.6188
angles: 107.72 107.72 90.00
Positions (direct):
Pr 0.0000 0.0000 0.0000
Hf 0.7500 0.2500 0.5000
Be 0.2500 0.7500 0.5000
Ir 0.6142 0.6142 0.2284
Ir 0.3858 0.3858 0.7716

HfBeIrRh: relaxed, PBE-GGA.

Values from the calculation:
D(E_F)   0.22 states/eV per atom
Formation enthalpy at 0 K   -3.01 eV/f.u.
Spin magnetization   0.0 μB/f.u.
Calculated volume   14.6 Å³ per atom

abc: 4.3545 4.3545 4.3545
angles: 60.00 60.00 60.00
Positions (direct):
Rh 0.7500 0.7500 0.7500
Ir 0.2500 0.2500 0.2500
Hf 0.5000 0.5000 0.5000
Be 0.0000 0.0000 0.0000

HfSc2Be2Ir5: relaxed, PBE-GGA.

Values from the calculation:
D(E_F)   0.39 states/eV per atom
Formation enthalpy at 0 K   -9.06 eV/f.u.
Spin magnetization   0.0 μB/f.u.
Calculated volume   14.8 Å³ per atom

abc: 3.1724 9.6716 9.6716
angles: 90.00 90.00 90.00
Positions (direct):
Hf 0.0000 0.0000 0.0000
Hf 0.0000 0.5000 0.5000
Sc 0.0000 0.6752 0.1752
Sc 0.0000 0.3248 0.8248
Sc 0.0000 0.1752 0.3248
Sc 0.0000 0.8248 0.6752
Be 0.0000 0.1204 0.6204
Be 0.0000 0.8796 0.3796
Be 0.0000 0.6204 0.8796
Be 0.0000 0.3796 0.1204
Ir 0.5000 0.2162 0.0706
Ir 0.5000 0.7838 0.9294
Ir 0.5000 0.0706 0.7838
Ir 0.5000 0.7162 0.4294
Ir 0.5000 0.9294 0.2162
Ir 0.5000 0.2838 0.5706
Ir 0.5000 0.5706 0.7162
Ir 0.5000 0.4294 0.2838
Ir 0.5000 0.5000 0.0000
Ir 0.5000 0.0000 0.5000

Hf2BeSi3Ir4: relaxed, PBE-GGA.

Values from the calculation:
D(E_F)   0.38 states/eV per atom
Formation energy (no corrections)   -0.81 eV/atom
Spin magnetization   0.0 μB/f.u.
Calculated volume   15.4 Å³ per atom

abc: 4.0040 4.0040 9.6326
angles: 90.00 90.00 90.00
Positions (direct):
Hf 0.5000 0.0000 0.2601
Hf 0.0000 0.5000 0.7399
Be 0.5000 0.5000 0.5000
Si 0.0000 0.0000 0.5000
Si 0.5000 0.0000 0.8629
Si 0.0000 0.5000 0.1371
Ir 0.5000 0.5000 0.0000
Ir 0.0000 0.0000 0.0000
Ir 0.5000 0.0000 0.6272
Ir 0.0000 0.5000 0.3728

> Which of these has the highest calculated volume?

Na2HfBeIr

> Look up the spin magnetization of the seventh one.

0.0 μB/f.u.

> Number 5 is which compound?

LiHfBeIr